First-principles (GGA-PBE) data for crystalline InGa2CoTc at its relaxed geometry, as listed in Alexandria via LeMat-Bulk.

Structure (POSCAR):
```
InGa2CoTc
1.0
5.013 0.000 0.000
0.000 4.767 0.000
0.000 0.000 5.013
Co Tc Ga In
1 1 2 1
direct
0.000 0.500 0.000
0.500 0.500 0.500
0.000 0.000 0.500
0.500 0.000 0.000
0.000 0.000 0.000
```

## Properties
magnetic moment = 5.185 μB/f.u.
space-group type = No. 123
formation enthalpy at 0 K = 7.82 eV per formula unit


First-principles (GGA-PBE) data for crystalline CuBiPd2 at its relaxed geometry, as listed in Alexandria via LeMat-Bulk.

Structure (POSCAR):
```
CuBiPd2
1.0
7.310 0.000 0.000
0.000 7.310 0.000
3.655 3.655 2.768
Cu Bi Pd
2 2 4
direct
0.500 0.500 0.000
0.250 0.750 0.500
0.000 0.000 0.000
0.750 0.250 0.500
0.597 0.125 0.250
0.153 0.625 0.250
0.375 0.403 0.750
0.875 0.847 0.750
```

## Properties
magnetic moment = 0.000 μB/f.u.
space-group type = No. 122
formation enthalpy at 0 K = 0.06 eV per formula unit


First-principles (GGA-PBE) data for crystalline CaTbEu at its relaxed geometry, as listed in Alexandria via LeMat-Bulk.

Structure (POSCAR):
```
CaTbEu
1.0
3.744 0.000 0.000
0.000 3.744 0.000
-1.872 -1.872 8.101
Eu Ca Tb
1 1 1
direct
0.675 0.675 0.349
0.994 0.994 0.988
0.331 0.331 0.663
```

## Properties
magnetic moment = 8.005 μB/f.u.
space-group type = No. 107
energy relative to the lowest polymorph listed for this composition = 10 meV per atom
formation enthalpy at 0 K = 0.28 eV per formula unit


First-principles (GGA-PBE) data for crystalline BeZnRe2Mo at its relaxed geometry, as listed in Alexandria via LeMat-Bulk.

Structure (POSCAR):
```
BeZnRe2Mo
1.0
-0.680 -4.282 -1.501
0.993 -1.309 3.283
-4.364 0.202 1.401
Re Mo Zn Be
2 1 1 1
direct
0.000 0.000 0.500
0.500 0.000 0.000
0.500 0.500 0.500
0.000 0.000 0.000
0.000 0.500 0.000
```

## Properties
magnetic moment = 0.000 μB/f.u.
space-group type = No. 123
formation enthalpy at 0 K = 7.56 eV per formula unit


First-principles (GGA-PBE) data for crystalline YRhSe2N at its relaxed geometry, as listed in Alexandria via LeMat-Bulk.

Structure (POSCAR):
```
YRhSe2N
1.0
-1.980 3.308 3.876
0.912 -3.861 3.761
3.854 1.544 0.650
Y Rh Se N
1 1 2 1
direct
0.000 0.000 0.000
0.500 0.500 0.500
0.000 0.500 0.000
0.500 0.000 0.000
0.000 0.000 0.500
```

## Properties
magnetic moment = 1.696 μB/f.u.
space-group type = No. 123
energy relative to the lowest polymorph listed for this composition = 1179 meV per atom


First-principles (GGA-PBE) data for crystalline LaAgTe2 at its relaxed geometry, as listed in Alexandria via LeMat-Bulk.

Structure (POSCAR):
```
LaAgTe2
1.0
-7.048 -1.198 1.567
-4.488 -2.573 5.177
-5.392 1.930 4.558
Te Ag La
2 1 1
direct
0.995 0.995 0.995
0.505 0.505 0.505
0.250 0.250 0.250
0.750 0.750 0.750
```

## Properties
magnetic moment = 0.000 μB/f.u.
space-group type = No. 166
calculated total energy = -17.809 eV per cell